# 1
This record from Alexandria via LeMat-Bulk describes crystalline La2BeGe3Ir4 at its relaxed geometry. The functional is PBE.

Cell lengths 4.2324, 4.2324, 10.2768 Å; angles 90.00, 90.00, 90.00 degrees
Space group P-4m2 (No. 115)
One atom of each set of equivalent atoms:
La1 0.0000 0.5000 0.2421 (multiplicity 2)
Be1 0.5000 0.5000 0.0000 (multiplicity 1)
Ge1 0.0000 0.0000 0.0000 (multiplicity 1)
Ge2 0.0000 0.5000 0.6319 (multiplicity 2)
Ir1 0.0000 0.0000 0.5000 (multiplicity 1)
Ir2 0.0000 0.5000 0.8771 (multiplicity 2)
Ir3 0.5000 0.5000 0.5000 (multiplicity 1)

## Properties
- Calculated formation energy: -0.744 eV per atom
- M_tot: 0.00 μB per cell
- E_tot: -0.5168 Ry per atom


# 2
This record from Alexandria via LeMat-Bulk describes crystalline CaGeRu2C at its relaxed geometry. The functional is PBE.

Cell lengths 3.9565, 11.0813, 7.3549 Å; angles 90.00, 90.00, 90.00 degrees
Space group Cmcm (No. 63)
One atom of each set of equivalent atoms:
Ca1 0.0000 0.0440 0.2500 (multiplicity 4)
Ge1 0.0000 0.2314 0.7500 (multiplicity 4)
Ru1 0.0000 0.3372 0.0558 (multiplicity 8)
C1 0.0000 0.5000 0.0000 (multiplicity 4)

## Properties
- Calculated formation energy: -0.283 eV per atom
- M_tot: 0.00 μB per cell
- E_tot: -0.5264 Ry per atom


# 3
This record from Alexandria via LeMat-Bulk describes crystalline CaZnRe2 at its relaxed geometry. The functional is PBE.

Cell lengths 3.8376, 3.8376, 9.4193 Å; angles 90.00, 90.00, 90.00 degrees
Space group I4/mmm (No. 139)
One atom of each set of equivalent atoms:
Ca1 0.0000 0.0000 0.0000 (multiplicity 2)
Zn1 0.0000 0.0000 0.5000 (multiplicity 2)
Re1 0.0000 0.5000 0.2500 (multiplicity 4)

## Properties
- Calculated formation energy: 0.664 eV per atom
- M_tot: 0.00 μB per cell
- E_tot: -0.4689 Ry per atom


| no. | calculated volume (A^3/atom) |
| --- | --- |
| 1 | 18.4 |
| 2 | 16.1 |
| 3 | 17.3 |